A plane-wave DFT calculation with PBE-GGA was carried out for a geometry-optimized Tm6In3Pt structure.

## Properties
Raw total energy (eV per formula unit): -46.22
Total magnetization (Bohr magnetons per cell): 0.0

Lattice parameters (Å, degrees): 9.0676 5.2026 11.4612 90.00 108.37 90.00
Space group P2_1/m (No. 11)
Unique sites:
Tm  0.0389  0.2500  0.4177 (multiplicity 2)
Tm  0.1821  0.7500  0.1658 (multiplicity 2)
Tm  0.2753  0.2500  0.0031 (multiplicity 2)
Tm  0.3554  0.7500  0.8293 (multiplicity 2)
Tm  0.3631  0.2500  0.3357 (multiplicity 2)
Tm  0.4006  0.2500  0.6385 (multiplicity 2)
In  0.0156  0.7500  0.8768 (multiplicity 2)
In  0.1060  0.2500  0.7188 (multiplicity 2)
In  0.2783  0.7500  0.4720 (multiplicity 2)
Pt  0.4599  0.7500  0.1041 (multiplicity 2)